# 1
Below is a geometry-optimized Sr3Ga2I structure, with properties calculated at the PBE level.

Lattice parameters (Å, degrees): 4.3870 11.1881 8.8384 90.00 90.00 90.00
Closest atoms and distances in Å follow each position.
Atoms (fractional coordinates):
Sr 0.0000 0.0731 0.0000  6 Ga 3.29-3.37, 1 I 3.67
Sr 0.0000 0.9269 0.5000  6 Ga 3.29-3.37, 1 I 3.67
Sr 0.5000 0.2095 0.3811  4 Ga 3.25-3.45, 2 I 3.61
Sr 0.5000 0.3642 0.8001  3 Ga 3.18-3.33
Sr 0.5000 0.6358 0.3001  3 Ga 3.18-3.33
Sr 0.5000 0.7905 0.8811  4 Ga 3.25-3.45, 2 I 3.61
Ga 0.0000 0.1957 0.6515  2 Ga 2.67
Ga 0.0000 0.8043 0.1515  2 Ga 2.67
Ga 0.5000 0.0725 0.7232  2 Ga 2.67
Ga 0.5000 0.9275 0.2232  2 Ga 2.67
I 0.0000 0.3815 0.1405  7 Sr 3.61-3.86
I 0.0000 0.6185 0.6405  7 Sr 3.61-3.86

Electronic total energy in eV/atom: -2.7620
Calculated density in g cm⁻³: 4.05

# 2
Below is a geometry-optimized SrGa2I2 structure, with properties calculated at the PBE level.

Lattice parameters (Å, degrees): 13.2351 13.2351 13.2351 162.76 162.76 24.48
Closest atoms and distances in Å follow each position.
Atoms (fractional coordinates):
Sr 0.0000 0.0000 0.0000  8 I 3.42
Ga 0.2500 0.7500 0.5000  4 Ga 2.81
Ga 0.7500 0.2500 0.5000  4 Ga 2.81
I 0.4246 0.4246 0.0000  4 Sr 3.42
I 0.5754 0.5754 0.0000  4 Sr 3.42

Electronic total energy in eV/atom: -2.8603
Calculated density in g cm⁻³: 3.92